Computed, not measured: a geometry-optimized Co2ReRu structure at the GGA-PBEsol level of DFT.

relative energy among the computed polymorphs: 78 meV per atom
formation energy: 0.15 eV/atom
symmetry: C2/m, No. 12

Lattice parameters (Å, degrees): 2.605 4.416 4.512 99.82 90.00 107.15
Element x y z (fractional)
Co: 0.749 0.498 0.753
Re: 0.500 0.000 0.000
Ru: 0.000 0.000 0.500
Co: 0.251 0.502 0.247